i.
Below is a relaxed structure of Cd2Cu2Br, with properties calculated at the GGA-PBE level.

Cell: 4.151 4.151 6.780 Å, 72.18 72.18 90.00°
Sites, in units of the cell vectors:
Cu 0.398 0.398 0.203
Cu 0.602 0.602 0.797
Br 0.000 0.000 0.000
Cd 0.750 0.250 0.500
Cd 0.250 0.750 0.500

Values from the calculation:
Symmetry = I4/mmm
DOS at the Fermi energy = 0.398 states/eV per atom

***

ii.
Below is a relaxed structure of Cd2Cu2Br, with properties calculated at the GGA-PBE level.

Cell: 7.730 7.730 3.294 Å, 90.00 90.00 90.00°
Sites, in units of the cell vectors:
Cu 0.386 0.886 0.000
Cu 0.886 0.614 0.000
Cu 0.614 0.114 0.000
Cu 0.114 0.386 0.000
Br 0.000 0.000 0.000
Br 0.500 0.500 0.000
Cd 0.179 0.679 0.500
Cd 0.679 0.821 0.500
Cd 0.821 0.321 0.500
Cd 0.321 0.179 0.500

Values from the calculation:
Symmetry = P4/mbm
DOS at the Fermi energy = 0.587 states/eV per atom

***

Top of the stability list: ii, leading by 6.3 kJ/mol of atoms.

***

i.
Below is a relaxed structure of CdCuBr, with properties calculated at the GGA-PBE level.

Cell: 4.676 4.676 4.676 Å, 60.00 60.00 60.00°
Sites, in units of the cell vectors:
Br 0.000 0.000 0.000
Cd 0.500 0.500 0.500
Cu 0.750 0.750 0.750

Values from the calculation:
Symmetry = F-43m
DOS at the Fermi energy = 0.078 states/eV per atom

***

ii.
Below is a relaxed structure of CdCuBr, with properties calculated at the GGA-PBE level.

Cell: 3.618 3.611 11.593 Å, 90.00 90.00 120.06°
Sites, in units of the cell vectors:
Cu 0.442 0.884 0.000
Cu 0.449 0.899 0.500
Cd 0.783 0.565 0.349
Cd 0.783 0.565 0.651
Br 0.105 0.210 0.855
Br 0.105 0.210 0.145

Values from the calculation:
Symmetry = Amm2
DOS at the Fermi energy = 0.284 states/eV per atom

***

iii.
Below is a relaxed structure of CdCuBr, with properties calculated at the GGA-PBE level.

Cell: 6.907 6.392 3.682 Å, 81.82 66.34 31.84°
Sites, in units of the cell vectors:
Br 0.024 0.024 0.976
Cd 0.314 0.314 0.686
Cu 0.661 0.661 0.339

Values from the calculation:
Symmetry = Fmm2
DOS at the Fermi energy = 0.156 states/eV per atom

***

Top of the stability list: ii, leading by 3.4 kJ/mol of atoms.